First-principles (GGA-PBE) data for a relaxed Ag7SbAu4 crystal, as listed in the Alexandria database.

As for the uncorrected energy: -3.122 eV per atom. Its calculated density is 12.42 Mg/m³. For the energy relative to the lowest polymorph listed for this composition, the calculation gives 0.000 eV per atom. The calculation puts the magnetization at 0.0 μB per formula unit.

The space group is C2/m (No. 12) and the conventional cell measures 9.436, 4.172 and 11.934 Å, with angles of 90.00, 108.70 and 90.00 degrees. The inequivalent atoms are Ag at (0.000, 0.000, 0.000), Ag at (0.001, 0.000, 0.243), Ag at (0.165, 0.500, 0.163), Ag at (0.169, 0.500, 0.411), Sb at (0.000, 0.000, 0.500), Au at (0.167, 0.500, 0.918) and Au at (0.169, 0.500, 0.674).

---

First-principles (GGA-PBE) data for a relaxed Ag3SbAu7 crystal, as listed in the Alexandria database.

As for the uncorrected energy: -3.133 eV per atom. Its calculated density is 13.47 Mg/m³. The calculation puts the magnetization at 0.0 μB per formula unit.

The space group is C2/m (No. 12) and the conventional cell measures 9.947, 10.236 and 5.152 Å, with angles of 90.00, 120.99 and 90.00 degrees. The inequivalent atoms are Ag at (0.000, 0.000, 0.000), Ag at (0.000, 0.232, 0.500), Sb at (0.000, 0.500, 0.000), Au at (0.000, 0.500, 0.500), Au at (0.170, 0.242, 0.170) and Au at (0.173, 0.000, 0.673).

---

First-principles (GGA-PBE) data for a relaxed Ag6SbAu12 crystal, as listed in the Alexandria database.

As for the uncorrected energy: -3.141 eV per atom. Its calculated density is 14.42 Mg/m³. The calculation puts the magnetization at 0.0 μB per formula unit.

The space group is R-3 (No. 148, hexagonal axes) and the conventional cell measures 10.1880, 10.1880 and 12.0405 Å, with angles of 90.00, 90.00 and 120.00 degrees. The inequivalent atoms are Ag at (0.0195, 0.4308, 0.2026), Sb at (0.0000, 0.0000, 0.5000), Au at (0.0328, 0.1853, 0.3086) and Au at (0.0621, 0.8502, 0.9129).

---

First-principles (GGA-PBE) data for a relaxed AgSb3Au crystal, as listed in the Alexandria database.

As for the uncorrected energy: -2.994 eV per atom. Its calculated density is 7.04 Mg/m³. For the energy relative to the lowest polymorph listed for this composition, the calculation gives 0.000 eV per atom. The calculation puts the magnetization at 0.0 μB per formula unit.

The space group is Pm-3m (No. 221) and the conventional cell measures 5.408, 5.408 and 5.408 Å, with angles of 90.00, 90.00 and 90.00 degrees. The inequivalent atoms are Ag at (0.000, 0.000, 0.000), Sb at (0.000, 0.500, 0.500) and Au at (0.500, 0.500, 0.500).

---

First-principles (GGA-PBE) data for a relaxed AgSb2Au crystal, as listed in the Alexandria database.

As for the uncorrected energy: -3.455 eV per atom. Its calculated density is 10.06 Mg/m³. For the energy relative to the lowest polymorph listed for this composition, the calculation gives 0.100 eV per atom. The calculation puts the magnetization at 0.0 μB per formula unit.

The space group is Pmmm (No. 47) and the conventional cell measures 3.413, 4.156 and 6.381 Å, with angles of 90.00, 90.00 and 90.00 degrees. The inequivalent atoms are Ag at (0.000, 0.000, 0.000), Sb at (0.500, 0.500, 0.254) and Au at (0.000, 0.000, 0.500).

---

First-principles (GGA-PBE) data for a relaxed AgSb4Au crystal, as listed in the Alexandria database.

As for the uncorrected energy: -3.740 eV per atom. Its calculated density is 8.37 Mg/m³. For the energy relative to the lowest polymorph listed for this composition, the calculation gives 0.000 eV per atom. The calculation puts the magnetization at 0.0 μB per formula unit.

The space group is P2_1/c (No. 14) and the conventional cell measures 6.807, 6.798 and 6.788 Å, with angles of 90.00, 90.61 and 90.00 degrees. The inequivalent atoms are Ag at (0.000, 0.000, 0.000), Sb at (0.125, 0.123, 0.379), Sb at (0.377, 0.623, 0.374) and Au at (0.500, 0.000, 0.500).

---

First-principles (GGA-PBE) data for a relaxed Ag2SbAu3 crystal, as listed in the Alexandria database.

As for the uncorrected energy: -3.273 eV per atom. Its calculated density is 13.38 Mg/m³. The calculation puts the magnetization at 0.0 μB per formula unit.

The space group is Cmmm (No. 65) and the conventional cell measures 4.308, 12.906 and 4.145 Å, with angles of 90.00, 90.00 and 90.00 degrees. The inequivalent atoms are Ag at (0.000, 0.170, 0.000), Sb at (0.000, 0.500, 0.000), Au at (0.000, 0.000, 0.500) and Au at (0.000, 0.329, 0.500).

---

First-principles (GGA-PBE) data for a relaxed Ag4SbAu6 crystal, as listed in the Alexandria database.

As for the uncorrected energy: -2.912 eV per atom. Its calculated density is 11.53 Mg/m³. The calculation puts the magnetization at 0.0 μB per formula unit.

The space group is I-42m (No. 121) and the conventional cell measures 7.342, 7.342 and 9.269 Å, with angles of 90.00, 90.00 and 90.00 degrees. The inequivalent atoms are Ag at (0.181, 0.181, 0.442), Sb at (0.000, 0.000, 0.000), Au at (0.000, 0.500, 0.000) and Au at (0.138, 0.138, 0.737).

---

First-principles (GGA-PBE) data for a relaxed AgSbAu3 crystal, as listed in the Alexandria database.

As for the uncorrected energy: -2.842 eV per atom. Its calculated density is 9.66 Mg/m³. For the energy relative to the lowest polymorph listed for this composition, the calculation gives 0.507 eV per atom. The calculation puts the magnetization at 0.0 μB per formula unit.

The space group is Pm-3m (No. 221) and the conventional cell measures 5.206, 5.206 and 5.206 Å, with angles of 90.00, 90.00 and 90.00 degrees. The inequivalent atoms are Ag at (0.000, 0.000, 0.000), Sb at (0.500, 0.500, 0.500) and Au at (0.000, 0.500, 0.500).

---

First-principles (GGA-PBE) data for a relaxed Ag2SbAu2 crystal, as listed in the Alexandria database.

As for the uncorrected energy: -3.128 eV per atom. Its calculated density is 11.32 Mg/m³. For the energy relative to the lowest polymorph listed for this composition, the calculation gives 0.112 eV per atom. The calculation puts the magnetization at 0.0 μB per formula unit.

The space group is I4/mmm (No. 139) and the conventional cell measures 3.837, 3.837 and 14.578 Å, with angles of 90.00, 90.00 and 90.00 degrees. The inequivalent atoms are Ag at (0.000, 0.000, 0.098), Sb at (0.000, 0.000, 0.500) and Au at (0.000, 0.500, 0.250).

---

First-principles (GGA-PBE) data for a relaxed Ag2SbAu2 crystal, as listed in the Alexandria database.

As for the uncorrected energy: -3.151 eV per atom. Its calculated density is 11.49 Mg/m³. For the energy relative to the lowest polymorph listed for this composition, the calculation gives 0.089 eV per atom. The calculation puts the magnetization at 0.0 μB per formula unit.

The space group is I4/mmm (No. 139) and the conventional cell measures 3.885, 3.885 and 14.003 Å, with angles of 90.00, 90.00 and 90.00 degrees. The inequivalent atoms are Ag at (0.000, 0.500, 0.250), Sb at (0.000, 0.000, 0.000) and Au at (0.000, 0.000, 0.401).

---

First-principles (GGA-PBE) data for a relaxed AgSbAu3 crystal, as listed in the Alexandria database.

As for the uncorrected energy: -3.349 eV per atom. Its calculated density is 13.11 Mg/m³. For the energy relative to the lowest polymorph listed for this composition, the calculation gives 0.000 eV per atom. The calculation puts the magnetization at 0.0 μB per formula unit.

The space group is Pmmn (No. 59, origin choice 2) and the conventional cell measures 4.589, 5.729 and 7.907 Å, with angles of 90.00, 90.00 and 90.00 degrees. The inequivalent atoms are Ag at (0.250, 0.250, 0.141), Sb at (0.250, 0.750, 0.418), Au at (0.250, 0.004, 0.738) and Au at (0.250, 0.750, 0.063).

---

First-principles (GGA-PBE) data for a relaxed AgSb2Au crystal, as listed in the Alexandria database.

As for the uncorrected energy: -3.494 eV per atom. Its calculated density is 9.84 Mg/m³. For the energy relative to the lowest polymorph listed for this composition, the calculation gives 0.061 eV per atom. The calculation puts the magnetization at 0.0 μB per formula unit.

The space group is P4mm (No. 99) and the conventional cell measures 3.328, 3.328 and 8.356 Å, with angles of 90.00, 90.00 and 90.00 degrees. The inequivalent atoms are Ag at (0.000, 0.000, 0.000), Sb at (0.000, 0.000, 0.423), Sb at (0.500, 0.500, 0.773) and Au at (0.500, 0.500, 0.211).

---

First-principles (GGA-PBE) data for a relaxed AgSbAu2 crystal, as listed in the Alexandria database.

As for the uncorrected energy: -3.357 eV per atom. Its calculated density is 12.95 Mg/m³. The calculation puts the magnetization at 0.0 μB per formula unit.

The space group is C2/m (No. 12) and the conventional cell measures 6.520, 5.889 and 5.285 Å, with angles of 90.00, 127.98 and 90.00 degrees. The inequivalent atoms are Ag at (0.000, 0.000, 0.000), Sb at (0.000, 0.500, 0.000) and Au at (0.000, 0.250, 0.500).

---

First-principles (GGA-PBE) data for a relaxed Ag8SbAu6 crystal, as listed in the Alexandria database.

As for the uncorrected energy: -3.022 eV per atom. Its calculated density is 11.80 Mg/m³. The calculation puts the magnetization at 0.0 μB per formula unit.

The space group is R-3 (No. 148, hexagonal axes) and the conventional cell measures 7.8716, 7.8716 and 17.0406 Å, with angles of 90.00, 90.00 and 120.00 degrees. The inequivalent atoms are Ag at (0.0000, 0.0000, 0.1957), Ag at (0.0125, 0.3683, 0.2125), Sb at (0.0000, 0.0000, 0.0000) and Au at (0.0053, 0.6955, 0.2872).

---

First-principles (GGA-PBE) data for a relaxed AgSb2Au2 crystal, as listed in the Alexandria database.

As for the uncorrected energy: -3.415 eV per atom. Its calculated density is 10.67 Mg/m³. For the energy relative to the lowest polymorph listed for this composition, the calculation gives 0.047 eV per atom. The calculation puts the magnetization at 0.0 μB per formula unit.

The space group is P4/mbm (No. 127) and the conventional cell measures 7.755, 7.755 and 3.858 Å, with angles of 90.00, 90.00 and 90.00 degrees. The inequivalent atoms are Ag at (0.000, 0.000, 0.000), Sb at (0.180, 0.320, 0.000) and Au at (0.130, 0.630, 0.500).

---

First-principles (GGA-PBE) data for a relaxed AgSbAu2 crystal, as listed in the Alexandria database.

As for the uncorrected energy: -3.266 eV per atom. Its calculated density is 12.83 Mg/m³. The calculation puts the magnetization at 0.0 μB per formula unit.

The space group is F-43m (No. 216) and the conventional cell measures 6.861, 6.861 and 6.861 Å, with angles of 90.00, 90.00 and 90.00 degrees. The inequivalent atoms are Ag at (0.000, 0.000, 0.000), Sb at (0.250, 0.250, 0.750), Au at (0.000, 0.000, 0.500) and Au at (0.250, 0.250, 0.250).

---

First-principles (GGA-PBE) data for a relaxed AgSb2Au crystal, as listed in the Alexandria database.

As for the uncorrected energy: -3.509 eV per atom. Its calculated density is 9.79 Mg/m³. For the energy relative to the lowest polymorph listed for this composition, the calculation gives 0.046 eV per atom. The calculation puts the magnetization at 0.0 μB per formula unit.

The space group is Pmm2 (No. 25) and the conventional cell measures 3.092, 4.086 and 7.363 Å, with angles of 90.00, 90.00 and 90.00 degrees. The inequivalent atoms are Ag at (0.000, 0.000, 0.000), Sb at (0.000, 0.000, 0.421), Sb at (0.500, 0.500, 0.788) and Au at (0.500, 0.500, 0.213).

---

First-principles (GGA-PBE) data for a relaxed Ag7SbAu12 crystal, as listed in the Alexandria database.

As for the uncorrected energy: -3.099 eV per atom. Its calculated density is 13.80 Mg/m³. The calculation puts the magnetization at 0.0 μB per formula unit.

The space group is R-3 (No. 148, hexagonal axes) and the conventional cell measures 9.9504, 9.9504 and 13.6425 Å, with angles of 90.00, 90.00 and 120.00 degrees. The inequivalent atoms are Ag at (0.0000, 0.0000, 0.0000), Ag at (0.0541, 0.8654, 0.2936), Sb at (0.0000, 0.0000, 0.5000), Au at (0.0190, 0.5722, 0.2139) and Au at (0.0472, 0.4630, 0.5872).

---

First-principles (GGA-PBE) data for a relaxed Ag2SbAu7 crystal, as listed in the Alexandria database.

As for the uncorrected energy: -3.004 eV per atom. Its calculated density is 11.81 Mg/m³. The calculation puts the magnetization at 0.0 μB per formula unit.

The space group is Cmmm (No. 65) and the conventional cell measures 7.447, 14.190 and 4.568 Å, with angles of 90.00, 90.00 and 90.00 degrees. The inequivalent atoms are Ag at (0.000, 0.205, 0.000), Sb at (0.000, 0.500, 0.500), Au at (0.000, 0.000, 0.000), Au at (0.000, 0.308, 0.500) and Au at (0.187, 0.396, 0.000).